Record 1
Ho4ErScS8 | PBE-GGA | optimized geometry

Geometry as POSCAR:
```
Ho4ErScS8
1.0
3.9695 2.2918 6.4778
-3.9695 2.2918 6.4778
0.0000 -4.5836 6.4778
Ho Er Sc S
4 1 1 8
direct
0.0000 0.0000 0.0000
0.1342 0.6218 0.6218
0.6218 0.1342 0.6218
0.6218 0.6218 0.1342
0.6218 0.6218 0.6218
0.2498 0.2498 0.2498
0.3778 0.3778 0.3778
0.3787 0.3787 0.8655
0.3787 0.8655 0.3787
0.4009 0.8656 0.8656
0.8655 0.3787 0.3787
0.8656 0.4009 0.8656
0.8656 0.8656 0.4009
0.8665 0.8665 0.8665
```

Output
The formation energy without anion corrections is -1.919 eV/atom. As for the calculated total energy: -6.36 eV per atom. The calculation puts the density at 5300 kg/m3.

=====

Record 2
HoErSeS | PBE-GGA | optimized geometry

Geometry as POSCAR:
```
HoErSeS
1.0
1.9332 1.1161 6.8455
-1.9332 1.1161 6.8455
0.0000 -2.2323 6.8455
Ho Er Se S
1 1 1 1
direct
0.0000 0.0000 0.0000
0.8150 0.8150 0.8150
0.5748 0.5748 0.5748
0.4060 0.4060 0.4060
```

Output
The formation energy without anion corrections is -1.859 eV/atom. As for the calculated total energy: -6.05 eV per atom. The calculation puts the density at 8305 kg/m3.

=====

Record 3
Ho2ErSe2S2 | PBE-GGA | optimized geometry

Geometry as POSCAR:
```
Ho2ErSe2S2
1.0
-2.5162 2.5162 7.1785
2.5162 -2.5162 7.1785
2.5162 2.5162 -7.1785
Ho Er Se S
2 1 2 2
direct
0.1193 0.1193 0.0000
0.8807 0.8807 0.0000
0.5000 0.5000 0.0000
0.3095 0.3095 0.0000
0.6905 0.6905 0.0000
0.0000 0.5000 0.5000
0.5000 0.0000 0.5000
```

Output
The formation energy without anion corrections is -1.472 eV/atom. As for the calculated total energy: -5.61 eV per atom. The calculation puts the density at 6569 kg/m3.

=====

Record 4
Ho2Er2Se2S3 | PBE-GGA | optimized geometry

Geometry as POSCAR:
```
Ho2Er2Se2S3
1.0
-2.6478 2.6478 7.2461
2.6478 -2.6478 7.2461
2.6478 2.6478 -7.2461
Ho Er Se S
2 2 2 3
direct
0.2020 0.2020 0.0000
0.7980 0.7980 0.0000
0.0000 0.5000 0.5000
0.5000 0.0000 0.5000
0.3968 0.3968 0.0000
0.6032 0.6032 0.0000
0.0000 0.0000 0.0000
0.2500 0.7500 0.5000
0.7500 0.2500 0.5000
```

Output
The formation energy without anion corrections is -1.663 eV/atom. As for the calculated total energy: -5.84 eV per atom. The calculation puts the density at 7506 kg/m3.

=====

Record 5
HoErSiS | PBE-GGA | optimized geometry

Geometry as POSCAR:
```
HoErSiS
1.0
1.9909 1.1494 6.6029
-1.9909 1.1494 6.6029
0.0000 -2.2989 6.6029
Ho Er Si S
1 1 1 1
direct
0.0000 0.0000 0.0000
0.4986 0.4986 0.4986
0.7497 0.7497 0.7497
0.2489 0.2489 0.2489
```

Output
The formation energy without anion corrections is -1.358 eV/atom. As for the calculated total energy: -6.03 eV per atom. The calculation puts the density at 7186 kg/m3.

=====

Record 6
Sm3HoEr3S8 | PBE-GGA | optimized geometry

Geometry as POSCAR:
```
Sm3HoEr3S8
1.0
3.9120 2.2586 6.4610
-3.9120 2.2586 6.4610
0.0000 -4.5172 6.4610
Sm Ho Er S
3 1 3 8
direct
0.0000 0.5000 0.5000
0.5000 0.0000 0.5000
0.5000 0.5000 0.0000
0.5000 0.5000 0.5000
0.0000 0.0000 0.5000
0.0000 0.5000 0.0000
0.5000 0.0000 0.0000
0.2430 0.7483 0.7483
0.2457 0.2457 0.2457
0.2517 0.2517 0.7570
0.2517 0.7570 0.2517
0.7483 0.2430 0.7483
0.7483 0.7483 0.2430
0.7543 0.7543 0.7543
0.7570 0.2517 0.2517
```

Output
The formation energy without anion corrections is -2.046 eV/atom. As for the calculated total energy: -6.41 eV per atom. The calculation puts the density at 6663 kg/m3.

=====

Record 7
Sm4HoErS8 | PBE-GGA | optimized geometry

Geometry as POSCAR:
```
Sm4HoErS8
1.0
4.0816 2.3565 6.6481
-4.0816 2.3565 6.6481
0.0000 -4.7131 6.6481
Sm Ho Er S
4 1 1 8
direct
0.0000 0.0000 0.0000
0.3767 0.3767 0.8731
0.3767 0.8731 0.3767
0.8731 0.3767 0.3767
0.3765 0.3765 0.3765
0.7513 0.7513 0.7513
0.1330 0.1330 0.1330
0.1388 0.1388 0.5987
0.1388 0.5987 0.1388
0.1416 0.6163 0.6163
0.5987 0.1388 0.1388
0.6163 0.1416 0.6163
0.6163 0.6163 0.1416
0.6221 0.6221 0.6221
```

Output
The formation energy without anion corrections is -1.920 eV/atom. As for the calculated total energy: -6.28 eV per atom. The calculation puts the density at 5151 kg/m3.

=====

Record 8
Sm2HoErS6 | PBE-GGA | optimized geometry

Geometry as POSCAR:
```
Sm2HoErS6
1.0
3.4899 2.0149 6.1792
-3.4899 2.0149 6.1792
0.0000 -4.0298 6.1792
Sm Ho Er S
2 1 1 6
direct
0.0000 0.0000 0.0000
0.4999 0.4999 0.4999
0.2036 0.2036 0.2036
0.7034 0.7034 0.7034
0.0888 0.8148 0.4131
0.3157 0.5900 0.9118
0.4131 0.0888 0.8148
0.5900 0.9118 0.3157
0.8148 0.4131 0.0888
0.9118 0.3157 0.5900
```

Output
The formation energy without anion corrections is -2.046 eV/atom. As for the calculated total energy: -6.38 eV per atom. The calculation puts the density at 5256 kg/m3.

=====

Record 9
SmHoEr2S4 | PBE-GGA | optimized geometry

Geometry as POSCAR:
```
SmHoEr2S4
1.0
6.7823 0.0000 0.0000
0.0000 3.8648 0.0000
-2.2083 0.0000 6.4303
Sm Ho Er S
1 1 2 4
direct
0.0000 0.0000 0.0000
0.5000 0.5000 0.0000
0.0000 0.5000 0.5000
0.5000 0.0000 0.5000
0.2531 0.0000 0.7441
0.2586 0.5000 0.2600
0.7414 0.5000 0.7400
0.7469 0.0000 0.2559
```

Output
The formation energy without anion corrections is -1.973 eV/atom. As for the calculated total energy: -6.34 eV per atom. The calculation puts the density at 7665 kg/m3.

=====

Record 10
SmHoEr4S8 | PBE-GGA | optimized geometry

Geometry as POSCAR:
```
SmHoEr4S8
1.0
4.0086 2.3144 6.5554
-4.0086 2.3144 6.5554
0.0000 -4.6288 6.5554
Sm Ho Er S
1 1 4 8
direct
0.0000 0.0000 0.0000
0.6249 0.6249 0.6249
0.1271 0.6248 0.6248
0.2505 0.2505 0.2505
0.6248 0.1271 0.6248
0.6248 0.6248 0.1271
0.3818 0.3818 0.8543
0.3818 0.8543 0.3818
0.3826 0.3826 0.3826
0.4065 0.8657 0.8657
0.8543 0.3818 0.3818
0.8645 0.8645 0.8645
0.8657 0.4065 0.8657
0.8657 0.8657 0.4065
```

Output
The formation energy without anion corrections is -1.923 eV/atom. As for the calculated total energy: -6.25 eV per atom. The calculation puts the density at 5647 kg/m3.

=====

Record 11
Sm4Ho3ErS8 | PBE-GGA | optimized geometry

Geometry as POSCAR:
```
Sm4Ho3ErS8
1.0
3.9224 2.2646 6.5205
-3.9224 2.2646 6.5205
0.0000 -4.5292 6.5205
Sm Ho Er S
4 3 1 8
direct
0.0000 0.0000 0.0000
0.0000 0.5000 0.5000
0.5000 0.0000 0.5000
0.5000 0.5000 0.0000
0.0000 0.0000 0.5000
0.0000 0.5000 0.0000
0.5000 0.0000 0.0000
0.5000 0.5000 0.5000
0.2457 0.2457 0.2457
0.2465 0.7450 0.7450
0.2550 0.2550 0.7535
0.2550 0.7535 0.2550
0.7450 0.2464 0.7450
0.7450 0.7450 0.2465
0.7535 0.2550 0.2550
0.7543 0.7543 0.7543
```

Output
The formation energy without anion corrections is -1.997 eV/atom. As for the calculated total energy: -6.38 eV per atom. The calculation puts the density at 7263 kg/m3.

=====

Record 12
Sm3Ho3ErS8 | PBE-GGA | optimized geometry

Geometry as POSCAR:
```
Sm3Ho3ErS8
1.0
3.9216 2.2641 6.4711
-3.9216 2.2641 6.4711
0.0000 -4.5283 6.4711
Sm Ho Er S
3 3 1 8
direct
0.0000 0.5000 0.5000
0.5000 0.0000 0.5000
0.5000 0.5000 0.0000
0.0000 0.0000 0.5000
0.0000 0.5000 0.0000
0.5000 0.0000 0.0000
0.5000 0.5000 0.5000
0.2463 0.2463 0.2463
0.2457 0.7470 0.7470
0.2530 0.2530 0.7543
0.2530 0.7543 0.2530
0.7470 0.2457 0.7470
0.7470 0.7470 0.2457
0.7543 0.2530 0.2530
0.7537 0.7537 0.7537
```

Output
The formation energy without anion corrections is -2.051 eV/atom. As for the calculated total energy: -6.42 eV per atom. The calculation puts the density at 6597 kg/m3.

=====

Record 13
SmHo3Er2S6 | PBE-GGA | optimized geometry

Geometry as POSCAR:
```
SmHo3Er2S6
1.0
3.3690 -5.8593 0.0000
3.3690 5.8593 0.0000
-2.2517 0.0000 6.3623
Sm Ho Er S
1 3 2 6
direct
0.0000 0.0000 0.0000
0.1625 0.8375 0.5000
0.5000 0.5000 0.5000
0.8375 0.1625 0.5000
0.3341 0.6659 0.0000
0.6659 0.3341 0.0000
0.0844 0.4262 0.2534
0.2580 0.2580 0.7495
0.4262 0.0844 0.2534
0.5738 0.9156 0.7466
0.7420 0.7420 0.2505
0.9156 0.5738 0.7466
```

Output
The formation energy without anion corrections is -1.978 eV/atom. As for the calculated total energy: -6.34 eV per atom. The calculation puts the density at 7748 kg/m3.

=====

Record 14
SmHo2ErS4 | PBE-GGA | optimized geometry

Geometry as POSCAR:
```
SmHo2ErS4
1.0
6.7796 0.0000 0.0000
0.0000 3.8732 0.0000
-2.2191 0.0000 6.4447
Sm Ho Er S
1 2 1 4
direct
0.0000 0.0000 0.0000
0.5000 0.0000 0.5000
0.5000 0.5000 0.0000
0.0000 0.5000 0.5000
0.2524 0.0000 0.7447
0.2572 0.5000 0.2586
0.7428 0.5000 0.7414
0.7476 0.0000 0.2553
```

Output
The formation energy without anion corrections is -1.976 eV/atom. As for the calculated total energy: -6.34 eV per atom. The calculation puts the density at 7612 kg/m3.

=====

Record 15
Sm2HoErS4 | PBE-GGA | optimized geometry

Geometry as POSCAR:
```
Sm2HoErS4
1.0
6.7862 0.0000 0.0000
0.0000 3.8914 0.0000
-2.2384 0.0000 6.5614
Sm Ho Er S
2 1 1 4
direct
0.0000 0.0000 0.0000
0.5000 0.5000 0.0000
0.0000 0.5000 0.5000
0.5000 0.0000 0.5000
0.2464 0.0000 0.7369
0.2557 0.5000 0.2637
0.7443 0.5000 0.7363
0.7536 0.0000 0.2631
```

Output
The formation energy without anion corrections is -1.997 eV/atom. As for the calculated total energy: -6.38 eV per atom. The calculation puts the density at 7295 kg/m3.

=====

Record 16
SmHo4Er3S8 | PBE-GGA | optimized geometry

Geometry as POSCAR:
```
SmHo4Er3S8
1.0
3.8945 2.2485 6.3548
-3.8945 2.2485 6.3548
0.0000 -4.4970 6.3548
Sm Ho Er S
1 4 3 8
direct
0.0000 0.0000 0.0000
0.0000 0.0000 0.5000
0.0000 0.5000 0.0000
0.5000 0.0000 0.0000
0.5000 0.5000 0.5000
0.0000 0.5000 0.5000
0.5000 0.0000 0.5000
0.5000 0.5000 0.0000
0.2507 0.2507 0.2507
0.2541 0.2541 0.7445
0.2541 0.7445 0.2541
0.2555 0.7459 0.7459
0.7445 0.2541 0.2541
0.7459 0.2555 0.7459
0.7459 0.7459 0.2555
0.7493 0.7493 0.7493
```

Output
The formation energy without anion corrections is -1.966 eV/atom. As for the calculated total energy: -6.32 eV per atom. The calculation puts the density at 7800 kg/m3.

=====

Record 17
Sm3Ho4ErS8 | PBE-GGA | optimized geometry

Geometry as POSCAR:
```
Sm3Ho4ErS8
1.0
3.9244 2.2657 6.4393
-3.9244 2.2657 6.4393
0.0000 -4.5315 6.4393
Sm Ho Er S
3 4 1 8
direct
0.0000 0.5000 0.5000
0.5000 0.0000 0.5000
0.5000 0.5000 0.0000
0.0000 0.0000 0.5000
0.0000 0.5000 0.0000
0.5000 0.0000 0.0000
0.5000 0.5000 0.5000
0.0000 0.0000 0.0000
0.2410 0.7507 0.7507
0.2458 0.2458 0.2458
0.2493 0.2493 0.7590
0.2493 0.7590 0.2493
0.7507 0.2410 0.7507
0.7507 0.7507 0.2410
0.7542 0.7542 0.7542
0.7590 0.2493 0.2493
```

Output
The formation energy without anion corrections is -1.986 eV/atom. As for the calculated total energy: -6.36 eV per atom. The calculation puts the density at 7418 kg/m3.

=====

Record 18
Sm3HoEr2S6 | PBE-GGA | optimized geometry

Geometry as POSCAR:
```
Sm3HoEr2S6
1.0
3.3897 -5.8927 0.0000
3.3897 5.8927 0.0000
-2.2662 0.0000 6.4945
Sm Ho Er S
3 1 2 6
direct
0.0000 0.0000 0.0000
0.3339 0.6661 0.0000
0.6661 0.3339 0.0000
0.5000 0.5000 0.5000
0.1666 0.8334 0.5000
0.8334 0.1666 0.5000
0.0867 0.4212 0.2632
0.2442 0.2442 0.7364
0.4212 0.0867 0.2632
0.5788 0.9133 0.7368
0.7558 0.7558 0.2636
0.9133 0.5788 0.7368
```

Output
The formation energy without anion corrections is -2.000 eV/atom. As for the calculated total energy: -6.39 eV per atom. The calculation puts the density at 7315 kg/m3.

=====

Record 19
Sm2Ho3ErS6 | PBE-GGA | optimized geometry

Geometry as POSCAR:
```
Sm2Ho3ErS6
1.0
8.5444 -1.9543 0.0000
8.5444 1.9543 0.0000
-1.8468 0.0000 7.6693
Sm Ho Er S
2 3 1 6
direct
0.1676 0.1676 0.3355
0.8324 0.8324 0.6645
0.1687 0.1687 0.8328
0.5000 0.5000 0.5000
0.8313 0.8313 0.1672
0.5000 0.5000 0.0000
0.0031 0.0031 0.7534
0.3349 0.3349 0.9255
0.3364 0.3364 0.4100
0.6636 0.6636 0.5900
0.6651 0.6651 0.0745
0.9969 0.9969 0.2466
```

Output
The formation energy without anion corrections is -1.987 eV/atom. As for the calculated total energy: -6.36 eV per atom. The calculation puts the density at 7489 kg/m3.

=====

Record 20
SrHo2ErS4 | PBE-GGA | optimized geometry

Geometry as POSCAR:
```
SrHo2ErS4
1.0
6.8715 0.0000 0.0000
0.0000 3.9398 0.0000
-2.2449 0.0000 6.4955
Sr Ho Er S
1 2 1 4
direct
0.0000 0.0000 0.0000
0.5000 0.0000 0.5000
0.5000 0.5000 0.0000
0.0000 0.5000 0.5000
0.2548 0.0000 0.7425
0.2627 0.5000 0.2642
0.7373 0.5000 0.7358
0.7452 0.0000 0.2575
```

Output
The formation energy without anion corrections is -1.967 eV/atom. As for the calculated total energy: -5.96 eV per atom. The calculation puts the density at 6733 kg/m3.

=====

Record 21
Sr2HoErS4 | PBE-GGA | optimized geometry

Geometry as POSCAR:
```
Sr2HoErS4
1.0
6.9494 0.0000 0.0000
0.0000 4.0196 0.0000
-2.3227 0.0000 6.7528
Sr Ho Er S
2 1 1 4
direct
0.0000 0.0000 0.0000
0.5000 0.5000 0.0000
0.0000 0.5000 0.5000
0.5000 0.0000 0.5000
0.2433 0.0000 0.7267
0.2587 0.5000 0.2740
0.7413 0.5000 0.7260
0.7567 0.0000 0.2733
```

Output
The formation energy without anion corrections is -2.025 eV/atom. As for the calculated total energy: -5.65 eV per atom. The calculation puts the density at 5596 kg/m3.